Entry 1:
# MoSe2N2

A relaxed MoSe2N2 crystal (PBE, the Alexandria database).

* density of states at the Fermi level: 0.76 states/eV/atom
* symmetry: P4/mmm

Cell: 5.032 5.032 3.823 Å, 90.00 90.00 90.00°
Each line ends with the local moment (μB).
Atoms (fractional coordinates):
N  0.500  0.500  0.500  1.67
N  0.000  0.000  0.500  -0.23
Se  0.500  0.000  0.000  -0.18
Se  0.000  0.500  0.000  -0.18
Mo  0.000  0.000  0.000  0.28

=====

Entry 2:
# MoSeN

A relaxed MoSeN crystal (PBE, the Alexandria database).

* density of states at the Fermi level: 0.28 states/eV/atom
* symmetry: Cmcm

Cell: 3.179 3.357 13.380 Å, 82.79 90.00 90.00°
Atoms (fractional coordinates):
Se  0.750  0.675  0.650
Se  0.250  0.325  0.350
Mo  0.750  0.396  0.208
Mo  0.250  0.604  0.792
N  0.250  0.073  0.853
N  0.750  0.927  0.147

=====

Energy relative to the elements, uncorrected list, top to bottom, in meV/atom: 1278, -14
Mass density list, top to bottom, in g/cm³: 4.8, 4.4
Electronic total energy list, top to bottom, in eV/f.u.: -28.063, -22.682